1.
VASP calculation (PBE-GGA) on a relaxed BaCa2BeOs crystal.

Structure (CIF):
```
data_BaCa2BeOs
_cell_length_a 5.582
_cell_length_b 4.646
_cell_length_c 5.582
_cell_angle_alpha 90.00
_cell_angle_beta 90.00
_cell_angle_gamma 90.00
_symmetry_space_group_name_H-M 'P 1'
_symmetry_Int_Tables_number 1
loop_
_symmetry_equiv_pos_as_xyz
'x,y,z'
loop_
_atom_site_label
_atom_site_type_symbol
_atom_site_fract_x
_atom_site_fract_y
_atom_site_fract_z
Be1 Be 0.000 0.500 0.000
Ca1 Ca 0.000 0.000 0.500
Ca2 Ca 0.500 0.000 0.000
Os1 Os 0.000 0.000 0.000
Ba1 Ba 0.500 0.500 0.500
```

## Properties
The value obtained for the density of states at the Fermi level is 4.2 states/eV/f.u. The value obtained for the uncorrected energy is -0.2756 Ry/atom. The symmetry is P4/mmm (123).

2.
VASP calculation (PBE-GGA) on a relaxed DyHoCoPd crystal.

Structure (CIF):
```
data_DyHoCoPd
_cell_length_a 3.395
_cell_length_b 3.395
_cell_length_c 6.888
_cell_angle_alpha 90.00
_cell_angle_beta 90.00
_cell_angle_gamma 90.00
_symmetry_space_group_name_H-M 'P 1'
_symmetry_Int_Tables_number 1
loop_
_symmetry_equiv_pos_as_xyz
'x,y,z'
loop_
_atom_site_label
_atom_site_type_symbol
_atom_site_fract_x
_atom_site_fract_y
_atom_site_fract_z
Dy1 Dy 0.000 0.000 0.844
Ho1 Ho 0.000 0.000 0.370
Co1 Co 0.500 0.500 0.606
Pd1 Pd 0.500 0.500 0.109
```

## Properties
The value obtained for the density of states at the Fermi level is 1.5 states/eV/f.u. The value obtained for the uncorrected energy is -0.4345 Ry/atom. The symmetry is P4mm (99).

3.
VASP calculation (PBE-GGA) on a relaxed BaGe2Te4 crystal.

Structure (CIF):
```
data_BaGe2Te4
_cell_length_a 7.007
_cell_length_b 7.007
_cell_length_c 7.007
_cell_angle_alpha 103.02
_cell_angle_beta 103.02
_cell_angle_gamma 123.33
_symmetry_space_group_name_H-M 'P 1'
_symmetry_Int_Tables_number 1
loop_
_symmetry_equiv_pos_as_xyz
'x,y,z'
loop_
_atom_site_label
_atom_site_type_symbol
_atom_site_fract_x
_atom_site_fract_y
_atom_site_fract_z
Ba1 Ba 0.500 0.500 0.000
Ge1 Ge 0.250 0.750 0.500
Ge2 Ge 0.750 0.250 0.500
Te1 Te 0.296 0.147 0.442
Te2 Te 0.853 0.296 0.149
Te3 Te 0.147 0.704 0.851
Te4 Te 0.704 0.853 0.558
```

## Properties
The value obtained for the density of states at the Fermi level is 2.1 states/eV/f.u. For the formation energy without anion corrections, the calculation gives -0.49 eV per atom. The value obtained for the uncorrected energy is -0.2854 Ry/atom. The symmetry is I4/m (87).

4.
VASP calculation (PBE-GGA) on a relaxed YSb2Cl crystal.

Structure (CIF):
```
data_YSb2Cl
_cell_length_a 5.341
_cell_length_b 5.341
_cell_length_c 5.341
_cell_angle_alpha 60.00
_cell_angle_beta 60.00
_cell_angle_gamma 60.00
_symmetry_space_group_name_H-M 'P 1'
_symmetry_Int_Tables_number 1
loop_
_symmetry_equiv_pos_as_xyz
'x,y,z'
loop_
_atom_site_label
_atom_site_type_symbol
_atom_site_fract_x
_atom_site_fract_y
_atom_site_fract_z
Y1 Y 0.500 0.500 0.500
Sb1 Sb 0.250 0.250 0.250
Sb2 Sb 0.750 0.750 0.750
Cl1 Cl 0.000 0.000 0.000
```

## Properties
The value obtained for the density of states at the Fermi level is 2.7 states/eV/f.u. For the formation energy without anion corrections, the calculation gives -0.27 eV per atom. The value obtained for the uncorrected energy is -0.3241 Ry/atom. The symmetry is Fm-3m (225).

5.
VASP calculation (PBE-GGA) on a relaxed ErPaFeTc crystal.

Structure (CIF):
```
data_ErPaFeTc
_cell_length_a 4.765
_cell_length_b 4.765
_cell_length_c 4.765
_cell_angle_alpha 60.00
_cell_angle_beta 60.00
_cell_angle_gamma 60.00
_symmetry_space_group_name_H-M 'P 1'
_symmetry_Int_Tables_number 1
loop_
_symmetry_equiv_pos_as_xyz
'x,y,z'
loop_
_atom_site_label
_atom_site_type_symbol
_atom_site_fract_x
_atom_site_fract_y
_atom_site_fract_z
Fe1 Fe 0.750 0.750 0.750
Pa1 Pa 0.000 0.000 0.000
Tc1 Tc 0.250 0.250 0.250
Er1 Er 0.500 0.500 0.500
```

## Properties
The value obtained for the density of states at the Fermi level is 3.2 states/eV/f.u. The value obtained for the uncorrected energy is -0.6091 Ry/atom. The symmetry is F-43m (216).

6.
VASP calculation (PBE-GGA) on a relaxed Nd6Sm2Dy3Mg crystal.

Structure (CIF):
```
data_Nd6Sm2Dy3Mg
_cell_length_a 6.256
_cell_length_b 6.256
_cell_length_c 11.876
_cell_angle_alpha 95.04
_cell_angle_beta 95.04
_cell_angle_gamma 120.03
_symmetry_space_group_name_H-M 'P 1'
_symmetry_Int_Tables_number 1
loop_
_symmetry_equiv_pos_as_xyz
'x,y,z'
loop_
_atom_site_label
_atom_site_type_symbol
_atom_site_fract_x
_atom_site_fract_y
_atom_site_fract_z
Nd1 Nd 0.917 0.586 0.749
Nd2 Nd 0.751 0.751 0.252
Nd3 Nd 0.083 0.414 0.251
Nd4 Nd 0.586 0.917 0.749
Nd5 Nd 0.249 0.249 0.748
Nd6 Nd 0.414 0.083 0.251
Sm1 Sm 0.333 0.667 0.000
Sm2 Sm 0.667 0.333 0.000
Dy1 Dy 0.166 0.834 0.500
Dy2 Dy 0.834 0.166 0.500
Dy3 Dy 0.500 0.500 0.500
Mg1 Mg 0.000 0.000 0.000
```

## Properties
The value obtained for the density of states at the Fermi level is 12.9 states/eV/f.u. The value obtained for the uncorrected energy is -0.3264 Ry/atom. The symmetry is C2/m (12).

7.
VASP calculation (PBE-GGA) on a relaxed GdHO crystal.

Structure (CIF):
```
data_GdHO
_cell_length_a 3.249
_cell_length_b 3.493
_cell_length_c 3.493
_cell_angle_alpha 120.00
_cell_angle_beta 90.00
_cell_angle_gamma 90.00
_symmetry_space_group_name_H-M 'P 1'
_symmetry_Int_Tables_number 1
loop_
_symmetry_equiv_pos_as_xyz
'x,y,z'
loop_
_atom_site_label
_atom_site_type_symbol
_atom_site_fract_x
_atom_site_fract_y
_atom_site_fract_z
H1 H 0.834 0.667 0.333
Gd1 Gd 0.833 0.000 0.000
O1 O 0.333 0.333 0.667
```

## Properties
The value obtained for the uncorrected energy is -0.6880 Ry/atom. The symmetry is P-6m2 (187).

8.
VASP calculation (PBE-GGA) on a relaxed Ba2LiMgBr6 crystal.

Structure (CIF):
```
data_Ba2LiMgBr6
_cell_length_a 7.418
_cell_length_b 7.418
_cell_length_c 13.281
_cell_angle_alpha 73.78
_cell_angle_beta 73.78
_cell_angle_gamma 60.00
_symmetry_space_group_name_H-M 'P 1'
_symmetry_Int_Tables_number 1
loop_
_symmetry_equiv_pos_as_xyz
'x,y,z'
loop_
_atom_site_label
_atom_site_type_symbol
_atom_site_fract_x
_atom_site_fract_y
_atom_site_fract_z
Ba1 Ba 0.883 0.883 0.351
Ba2 Ba 0.117 0.117 0.649
Ba3 Ba 0.706 0.706 0.883
Ba4 Ba 0.294 0.294 0.117
Li1 Li 0.583 0.583 0.252
Li2 Li 0.417 0.417 0.748
Mg1 Mg 0.000 0.000 0.000
Mg2 Mg 0.500 0.500 0.500
Br1 Br 0.880 0.373 0.374
Br2 Br 0.373 0.880 0.374
Br3 Br 0.373 0.373 0.374
Br4 Br 0.120 0.627 0.626
Br5 Br 0.627 0.120 0.626
Br6 Br 0.627 0.627 0.626
Br7 Br 0.709 0.207 0.876
Br8 Br 0.207 0.709 0.876
Br9 Br 0.207 0.207 0.876
Br10 Br 0.291 0.793 0.124
Br11 Br 0.793 0.291 0.124
Br12 Br 0.793 0.793 0.124
```

## Properties
The value obtained for the density of states at the Fermi level is 2.5 states/eV/f.u. For the formation energy without anion corrections, the calculation gives -1.62 eV per atom. The value obtained for the uncorrected energy is -0.2467 Ry/atom. The symmetry is R-3m (166).

9.
VASP calculation (PBE-GGA) on a relaxed RbCdTeW2 crystal.

Structure (CIF):
```
data_RbCdTeW2
_cell_length_a 5.059
_cell_length_b 5.059
_cell_length_c 6.511
_cell_angle_alpha 90.00
_cell_angle_beta 90.00
_cell_angle_gamma 90.00
_symmetry_space_group_name_H-M 'P 1'
_symmetry_Int_Tables_number 1
loop_
_symmetry_equiv_pos_as_xyz
'x,y,z'
loop_
_atom_site_label
_atom_site_type_symbol
_atom_site_fract_x
_atom_site_fract_y
_atom_site_fract_z
Te1 Te 0.000 0.000 0.000
Rb1 Rb 0.500 0.500 0.500
W1 W 0.000 0.500 0.000
W2 W 0.500 0.000 0.000
Cd1 Cd 0.000 0.000 0.500
```

## Properties
The value obtained for the density of states at the Fermi level is 4.9 states/eV/f.u. For the formation energy without anion corrections, the calculation gives 1.93 eV per atom. The value obtained for the uncorrected energy is -0.3129 Ry/atom. The symmetry is P4/mmm (123).

10.
VASP calculation (PBE-GGA) on a relaxed YAg3 crystal.

Structure (CIF):
```
data_YAg3
_cell_length_a 5.594
_cell_length_b 5.594
_cell_length_c 5.594
_cell_angle_alpha 116.25
_cell_angle_beta 116.25
_cell_angle_gamma 116.25
_symmetry_space_group_name_H-M 'P 1'
_symmetry_Int_Tables_number 1
loop_
_symmetry_equiv_pos_as_xyz
'x,y,z'
loop_
_atom_site_label
_atom_site_type_symbol
_atom_site_fract_x
_atom_site_fract_y
_atom_site_fract_z
Ag1 Ag 0.000 0.000 0.000
Ag2 Ag 0.000 0.500 0.500
Ag3 Ag 0.500 0.500 0.000
Y1 Y 0.500 0.000 0.500
```

## Properties
The value obtained for the density of states at the Fermi level is 1.1 states/eV/f.u. The value obtained for the uncorrected energy is -0.2744 Ry/atom. The symmetry is R-3m (166).

11.
VASP calculation (PBE-GGA) on a relaxed SiSe2N2 crystal.

Structure (CIF):
```
data_SiSe2N2
_cell_length_a 4.216
_cell_length_b 4.216
_cell_length_c 3.947
_cell_angle_alpha 90.00
_cell_angle_beta 90.00
_cell_angle_gamma 90.00
_symmetry_space_group_name_H-M 'P 1'
_symmetry_Int_Tables_number 1
loop_
_symmetry_equiv_pos_as_xyz
'x,y,z'
loop_
_atom_site_label
_atom_site_type_symbol
_atom_site_fract_x
_atom_site_fract_y
_atom_site_fract_z
Si1 Si 0.500 0.500 0.500
Se1 Se 0.000 0.500 0.000
Se2 Se 0.500 0.000 0.000
N1 N 0.000 0.000 0.000
N2 N 0.000 0.000 0.500
```

## Properties
The value obtained for the density of states at the Fermi level is 2.8 states/eV/f.u. For the formation energy without anion corrections, the calculation gives 1.70 eV per atom. The value obtained for the uncorrected energy is -0.3018 Ry/atom. The symmetry is P4/mmm (123).

12.
VASP calculation (PBE-GGA) on a relaxed Si3Ru4 crystal.

Structure (CIF):
```
data_Si3Ru4
_cell_length_a 4.833
_cell_length_b 4.833
_cell_length_c 4.638
_cell_angle_alpha 90.00
_cell_angle_beta 90.00
_cell_angle_gamma 120.00
_symmetry_space_group_name_H-M 'P 1'
_symmetry_Int_Tables_number 1
loop_
_symmetry_equiv_pos_as_xyz
'x,y,z'
loop_
_atom_site_label
_atom_site_type_symbol
_atom_site_fract_x
_atom_site_fract_y
_atom_site_fract_z
Si1 Si 0.500 0.000 0.000
Si2 Si 0.000 0.500 0.000
Si3 Si 0.500 0.500 0.000
Ru1 Ru 0.000 0.000 0.253
Ru2 Ru 0.000 0.000 0.747
Ru3 Ru 0.333 0.667 0.500
Ru4 Ru 0.667 0.333 0.500
```

## Properties
The value obtained for the density of states at the Fermi level is 5.9 states/eV/f.u. For the formation energy without anion corrections, the calculation gives 0.25 eV per atom. The value obtained for the uncorrected energy is -0.5418 Ry/atom. The symmetry is P6/mmm (191).

13.
VASP calculation (PBE-GGA) on a relaxed ZrTa2Al crystal.

Structure (CIF):
```
data_ZrTa2Al
_cell_length_a 4.731
_cell_length_b 4.731
_cell_length_c 4.731
_cell_angle_alpha 60.00
_cell_angle_beta 60.00
_cell_angle_gamma 60.00
_symmetry_space_group_name_H-M 'P 1'
_symmetry_Int_Tables_number 1
loop_
_symmetry_equiv_pos_as_xyz
'x,y,z'
loop_
_atom_site_label
_atom_site_type_symbol
_atom_site_fract_x
_atom_site_fract_y
_atom_site_fract_z
Al1 Al 0.500 0.500 0.500
Zr1 Zr 0.750 0.750 0.750
Ta1 Ta 0.000 0.000 0.000
Ta2 Ta 0.250 0.250 0.250
```

## Properties
The value obtained for the density of states at the Fermi level is 4.9 states/eV/f.u. The value obtained for the uncorrected energy is -0.6656 Ry/atom. The symmetry is F-43m (216).